[1]
Mo2AuCl after structural relaxation, computed with PBE.

Output
Density = 9.35 g cm⁻³
Formation energy from raw total energies = 3.6 eV/f.u.
DOS at the Fermi energy = 0.971 states/eV per atom

Lattice parameters (Å, degrees): 9.290 9.290 9.290 154.28 154.28 36.69
Sites, in units of the cell vectors:
Mo (0.059, 0.625, 0.934)
Mo (0.375, 0.309, 0.434)
Mo (0.691, 0.125, 0.066)
Mo (0.875, 0.941, 0.566)
Au (0.250, 0.750, 0.500)
Au (0.500, 0.500, 0.000)
Cl (0.000, 0.000, 0.000)
Cl (0.750, 0.250, 0.500)

[2]
MoAu2Cl after structural relaxation, computed with PBE.

Output
Density = 11.05 g cm⁻³
Formation energy from raw total energies = 2.4 eV/f.u.
DOS at the Fermi energy = 0.466 states/eV per atom

Lattice parameters (Å, degrees): 5.957 5.957 5.957 142.19 142.19 54.55
Sites, in units of the cell vectors:
Mo (0.000, 0.000, 0.000)
Au (0.250, 0.750, 0.500)
Au (0.750, 0.250, 0.500)
Cl (0.500, 0.500, 0.000)

[3]
Mo2AuCl after structural relaxation, computed with PBE.

Output
Density = 10.33 g cm⁻³
Formation energy from raw total energies = 1.8 eV/f.u.
DOS at the Fermi energy = 0.552 states/eV per atom

Lattice parameters (Å, degrees): 4.439 5.533 5.533 30.13 90.00 90.00
Sites, in units of the cell vectors:
Mo (0.000, 0.000, 0.000)
Mo (0.500, 0.392, 0.392)
Au (0.500, 0.647, 0.647)
Cl (0.000, 0.314, 0.314)